! Ba2MgHg4Pb3 (PBE-GGA, optimized geometry); values from VASP
! SG	P-4m2, No. 115
! size of the total moment	0.000	μB/cell
! calculated formation energy	-0.3223	eV per atom
! calculated volume	319	Å³ per cell
&SYSTEM
  ibrav = 0, nat = 10, ntyp = 4
/
ATOMIC_SPECIES
Ba 137.33 Ba.upf
Mg 24.30 Mg.upf
Hg 200.59 Hg.upf
Pb 207.20 Pb.upf
CELL_PARAMETERS angstrom
5.0444 0.0000 0.0000
0.0000 5.0444 0.0000
0.0000 0.0000 12.5525
ATOMIC_POSITIONS angstrom
Ba 0.0000 2.5222 2.9531
Ba 2.5222 0.0000 9.5994
Mg 0.0000 0.0000 6.2763
Hg 0.0000 0.0000 0.0000
Hg 0.0000 2.5222 7.8998
Hg 2.5222 0.0000 4.6527
Hg 2.5222 2.5222 0.0000
Pb 0.0000 2.5222 10.8286
Pb 2.5222 0.0000 1.7239
Pb 2.5222 2.5222 6.2763